1.
# Ca4Nd, relaxed, DFT PBE-GGA
# total energy: -9.6 eV for the cell shown
# space-group type: Pm-3m
# energy above the most stable polymorph in this dataset: 319 meV/atom
# crystal system: cubic
# energy of formation from the pure elements: 0.627 eV/atom
data_Ca4Nd
_chemical_formula_sum 'Ca4 Nd1'
_cell_length_a 6.009
_cell_length_b 6.009
_cell_length_c 6.009
_cell_angle_alpha 90.00
_cell_angle_beta 90.00
_cell_angle_gamma 90.00
_symmetry_space_group_name_H-M 'P 1'
_symmetry_Int_Tables_number 1
loop_
_symmetry_equiv_pos_as_xyz
'x,y,z'
loop_
_atom_site_label
_atom_site_type_symbol
_atom_site_fract_x
_atom_site_fract_y
_atom_site_fract_z
Ca1 Ca 0.000 0.000 0.000
Ca2 Ca 0.000 0.500 0.500
Ca3 Ca 0.500 0.000 0.500
Ca4 Ca 0.500 0.500 0.000
Nd1 Nd 0.500 0.500 0.500

***

2.
# K2Ba2ReO6, relaxed, DFT PBE-GGA
# total energy: -69.8 eV for the cell shown
# space-group type: C2/m
# energy relative to the elements, uncorrected: -1.9610 eV per atom
# crystal system: monoclinic
data_K2Ba2ReO6
_chemical_formula_sum 'K2 Ba2 Re1 O6'
_cell_length_a 6.363
_cell_length_b 6.363
_cell_length_c 6.576
_cell_angle_alpha 96.95
_cell_angle_beta 96.95
_cell_angle_gamma 118.29
_symmetry_space_group_name_H-M 'P 1'
_symmetry_Int_Tables_number 1
loop_
_symmetry_equiv_pos_as_xyz
'x,y,z'
loop_
_atom_site_label
_atom_site_type_symbol
_atom_site_fract_x
_atom_site_fract_y
_atom_site_fract_z
K1 K 0.145 0.855 0.000
K2 K 0.855 0.145 0.000
Ba1 Ba 0.338 0.662 0.500
Ba2 Ba 0.662 0.338 0.500
Re1 Re 0.000 0.000 0.500
O1 O 0.039 0.298 0.669
O2 O 0.200 0.200 0.316
O3 O 0.298 0.039 0.669
O4 O 0.702 0.961 0.331
O5 O 0.800 0.800 0.684
O6 O 0.961 0.702 0.331